(1)
Computed, not measured: an optimized crystal structure of Nd4Se3N at the GGA-PBE level of DFT.

Lattice parameters (Å, degrees): 7.136 7.136 7.136 131.80 131.80 70.54
Positions (direct):
N (0.000, 0.000, 0.000)
Nd (0.207, 0.207, 0.000)
Nd (0.793, 0.793, 0.000)
Nd (0.500, 0.000, 0.500)
Nd (0.000, 0.500, 0.500)
Se (0.500, 0.500, 0.000)
Se (0.750, 0.250, 0.500)
Se (0.250, 0.750, 0.500)

Properties
As for the uncorrected energy: -50.770 eV/cell. Its space group is I4/mmm (139). The value obtained for the magnetic moment is 0.0 μB/cell.

(2)
Computed, not measured: an optimized crystal structure of Nd2Sm2Se3N4 at the GGA-PBE level of DFT.

Lattice parameters (Å, degrees): 8.114 7.098 7.098 33.24 90.00 90.00
Each line ends with the local moment (μB).
Positions (direct):
N (0.245, 0.094, 0.094)  0.35
N (0.755, 0.094, 0.094)  0.36
N (0.000, 0.589, 0.589)  0.38
N (0.500, 0.605, 0.605)  0.34
Nd (0.000, 0.002, 0.002)  0.03
Nd (0.500, 0.012, 0.012)  0.01
Se (0.000, 0.319, 0.319)  0.03
Se (0.330, 0.354, 0.354)  0.02
Se (0.670, 0.354, 0.354)  0.02
Sm (0.243, 0.680, 0.680)  0.01
Sm (0.757, 0.680, 0.680)  0.01

Properties
As for the uncorrected energy: -72.999 eV/cell. Its space group is Amm2 (38). The value obtained for the magnetic moment is 2.1 μB/cell.

(3)
Computed, not measured: an optimized crystal structure of Nd2SmN3 at the GGA-PBE level of DFT.

Lattice parameters (Å, degrees): 3.613 3.613 8.848 90.00 90.00 120.00
Positions (direct):
N (0.000, 0.000, 0.000)
N (0.333, 0.667, 0.337)
N (0.667, 0.333, 0.663)
Nd (0.667, 0.333, 0.168)
Nd (0.333, 0.667, 0.832)
Sm (0.000, 0.000, 0.500)

Properties
As for the uncorrected energy: -47.613 eV/cell. Its space group is P-3m1 (164). The value obtained for the magnetic moment is 0.0 μB/cell.

(4)
Computed, not measured: an optimized crystal structure of NdSm2N3 at the GGA-PBE level of DFT.

Lattice parameters (Å, degrees): 3.592 3.592 8.797 90.00 90.00 120.00
Positions (direct):
N (0.000, 0.000, 0.000)
N (0.333, 0.667, 0.330)
N (0.667, 0.333, 0.670)
Nd (0.000, 0.000, 0.500)
Sm (0.667, 0.333, 0.165)
Sm (0.333, 0.667, 0.835)

Properties
As for the uncorrected energy: -47.810 eV/cell. Its space group is P-3m1 (164). The value obtained for the magnetic moment is 0.0 μB/cell.

(5)
Computed, not measured: an optimized crystal structure of Nd2SmTa2N6 at the GGA-PBE level of DFT.

Lattice parameters (Å, degrees): 10.187 10.187 10.187 157.15 157.15 32.54
Positions (direct):
N (0.301, 0.301, 0.000)
N (0.699, 0.699, 0.000)
N (0.583, 0.083, 0.500)
N (0.917, 0.417, 0.500)
N (0.083, 0.583, 0.500)
N (0.417, 0.917, 0.500)
Nd (0.179, 0.179, 0.000)
Nd (0.821, 0.821, 0.000)
Sm (0.000, 0.000, 0.000)
Ta (0.400, 0.400, 0.000)
Ta (0.600, 0.600, 0.000)

Properties
As for the uncorrected energy: -102.814 eV/cell. Its space group is I4/mmm (139). The value obtained for the magnetic moment is 0.0 μB/cell.

(6)
Computed, not measured: an optimized crystal structure of Sr3NdN3 at the GGA-PBE level of DFT.

Lattice parameters (Å, degrees): 8.071 8.071 5.363 90.00 90.00 120.00
Positions (direct):
N (0.056, 0.367, 0.250)
N (0.633, 0.688, 0.250)
N (0.312, 0.944, 0.250)
N (0.688, 0.056, 0.750)
N (0.367, 0.312, 0.750)
N (0.944, 0.633, 0.750)
Nd (0.333, 0.667, 0.250)
Nd (0.667, 0.333, 0.750)
Sr (0.729, 0.056, 0.250)
Sr (0.327, 0.271, 0.250)
Sr (0.944, 0.673, 0.250)
Sr (0.056, 0.327, 0.750)
Sr (0.673, 0.729, 0.750)
Sr (0.271, 0.944, 0.750)

Properties
As for the uncorrected energy: -76.699 eV/cell. Its space group is P6_3/m (176). The value obtained for the magnetic moment is 0.0 μB/cell.

(7)
Computed, not measured: an optimized crystal structure of Nd3Ta3W2N12 at the GGA-PBE level of DFT.

Lattice parameters (Å, degrees): 11.260 11.260 11.260 109.47 109.47 109.47
Positions (direct):
N (0.195, 0.114, 0.018)
N (0.324, 0.904, 0.018)
N (0.886, 0.404, 0.081)
N (0.695, 0.676, 0.081)
N (0.614, 0.419, 0.096)
N (0.982, 0.676, 0.096)
N (0.018, 0.195, 0.114)
N (0.596, 0.919, 0.114)
N (0.195, 0.581, 0.176)
N (0.482, 0.596, 0.176)
N (0.114, 0.018, 0.195)
N (0.581, 0.176, 0.195)
N (0.482, 0.386, 0.305)
N (0.324, 0.919, 0.305)
N (0.904, 0.018, 0.324)
N (0.919, 0.305, 0.324)
N (0.305, 0.482, 0.386)
N (0.581, 0.904, 0.386)
N (0.824, 0.518, 0.404)
N (0.081, 0.886, 0.404)
N (0.096, 0.614, 0.419)
N (0.824, 0.805, 0.419)
N (0.596, 0.176, 0.482)
N (0.386, 0.305, 0.482)
N (0.614, 0.695, 0.518)
N (0.404, 0.824, 0.518)
N (0.176, 0.195, 0.581)
N (0.904, 0.386, 0.581)
N (0.919, 0.114, 0.596)
N (0.176, 0.482, 0.596)
N (0.419, 0.096, 0.614)
N (0.695, 0.518, 0.614)
N (0.081, 0.695, 0.676)
N (0.096, 0.982, 0.676)
N (0.676, 0.081, 0.695)
N (0.518, 0.614, 0.695)
N (0.419, 0.824, 0.805)
N (0.886, 0.982, 0.805)
N (0.518, 0.404, 0.824)
N (0.805, 0.419, 0.824)
N (0.404, 0.081, 0.886)
N (0.982, 0.805, 0.886)
N (0.018, 0.324, 0.904)
N (0.386, 0.581, 0.904)
N (0.305, 0.324, 0.919)
N (0.114, 0.596, 0.919)
N (0.676, 0.096, 0.982)
N (0.805, 0.886, 0.982)
Nd (0.250, 0.375, 0.125)
Nd (0.375, 0.750, 0.125)
Nd (0.375, 0.125, 0.250)
Nd (0.875, 0.625, 0.250)
Nd (0.750, 0.125, 0.375)
Nd (0.125, 0.250, 0.375)
Nd (0.875, 0.750, 0.625)
Nd (0.250, 0.875, 0.625)
Nd (0.125, 0.375, 0.750)
Nd (0.625, 0.875, 0.750)
Nd (0.625, 0.250, 0.875)
Nd (0.750, 0.625, 0.875)
Ta (0.875, 0.250, 0.125)
Ta (0.750, 0.875, 0.125)
Ta (0.625, 0.375, 0.250)
Ta (0.125, 0.875, 0.250)
Ta (0.250, 0.625, 0.375)
Ta (0.625, 0.750, 0.375)
Ta (0.375, 0.250, 0.625)
Ta (0.750, 0.375, 0.625)
Ta (0.875, 0.125, 0.750)
Ta (0.375, 0.625, 0.750)
Ta (0.250, 0.125, 0.875)
Ta (0.125, 0.750, 0.875)
W (0.000, 0.000, 0.000)
W (0.500, 0.000, 0.000)
W (0.000, 0.500, 0.000)
W (0.500, 0.500, 0.000)
W (0.000, 0.000, 0.500)
W (0.500, 0.000, 0.500)
W (0.000, 0.500, 0.500)
W (0.500, 0.500, 0.500)

Properties
As for the uncorrected energy: -780.418 eV/cell. Its space group is Ia-3d (230). The value obtained for the magnetic moment is 0.0 μB/cell.

(8)
Computed, not measured: an optimized crystal structure of TbNd2N3 at the GGA-PBE level of DFT.

Lattice parameters (Å, degrees): 3.583 3.583 8.783 90.00 90.00 120.00
Positions (direct):
N (0.000, 0.000, 0.000)
N (0.333, 0.667, 0.342)
N (0.667, 0.333, 0.658)
Nd (0.667, 0.333, 0.171)
Nd (0.333, 0.667, 0.829)
Tb (0.000, 0.000, 0.500)

Properties
As for the uncorrected energy: -47.817 eV/cell. Its space group is P-3m1 (164). The value obtained for the magnetic moment is 0.0 μB/cell.

no.,theoretical density (g/cm3)
1,6.95
2,6.54
3,7.98
4,8.23
5,9.23
6,4.93
7,9.13
8,8.32